The following is a DFT calculation (PBE) of crystalline Ac2AgPb3 at its relaxed geometry.

Its density of states at the Fermi level is 4.02 states/eV/f.u. Its formation energy is -0.38 eV per atom. The energy is -4.083 eV/atom. As for the space-group type: Cm (8).

Cell lengths 5.0577, 6.7341, 6.6704 Å; angles 72.92, 67.72, 67.94 degrees
Last column: nearest neighbours and their distance in Å.
Sites, in units of the cell vectors:
Ac 0.5469 0.1924 0.7137  8 Pb 3.50-3.78, 3 Ag 3.79-3.85
Ac 0.4464 0.7990 0.3083  7 Pb 3.48-3.67, 3 Ag 3.61-3.69
Ag 0.1686 0.3955 0.2672  4 Pb 2.91-3.08
Pb 0.8651 0.5953 0.6746  1 Ag 3.00, 2 Pb 3.22
Pb 0.8177 0.2230 0.1416  2 Ag 2.91
Pb 0.1553 0.7948 0.8947  1 Ag 3.08, 3 Pb 3.22-3.30